This record from the Alexandria database describes an optimized crystal structure of TiReTeN2. The functional is GGA-PBEsol.

Output
* ρ: 7.6 g/cm³
* DOS at the Fermi energy: 3.88 states/eV per cell
* final energy: -7.34 eV per atom

abc: 3.878 3.878 5.633
angles: 90.00 90.00 90.00
Each line ends with the local moment (μB).
Sites, in units of the cell vectors:
N 0.500 0.000 0.000  -0.03
N 0.000 0.500 0.000  -0.03
Te 0.000 0.000 0.500  0.00
Ti 0.000 0.000 0.000  0.11
Re 0.500 0.500 0.500  2.80